Model 1:
Below is a relaxed YInPt3 crystal, with properties calculated at the PBE level.

```
data_YInPt3
_cell_length_a 5.149
_cell_length_b 5.149
_cell_length_c 5.149
_cell_angle_alpha 90.00
_cell_angle_beta 90.00
_cell_angle_gamma 90.00
_space_group_name_H-M_alt 'P m -3 m'
_space_group_IT_number 221
_space_group_name_Hall '-P 4 2 3'
loop_
_atom_site_label
_atom_site_type_symbol
_atom_site_fract_x
_atom_site_fract_y
_atom_site_fract_z
Y1 Y 0.000 0.000 0.000
In1 In 0.500 0.500 0.500
Pt1 Pt 0.000 0.000 0.500
```


Model 2:
Below is a relaxed YInPt3 crystal, with properties calculated at the PBE level.

```
data_YInPt3
_cell_length_a 4.936
_cell_length_b 4.936
_cell_length_c 4.936
_cell_angle_alpha 90.00
_cell_angle_beta 90.00
_cell_angle_gamma 90.00
_space_group_name_H-M_alt 'P m -3 m'
_space_group_IT_number 221
_space_group_name_Hall '-P 4 2 3'
loop_
_atom_site_label
_atom_site_type_symbol
_atom_site_fract_x
_atom_site_fract_y
_atom_site_fract_z
Y1 Y 0.000 0.000 0.000
In1 In 0.500 0.500 0.500
Pt1 Pt 0.000 0.500 0.500
```


Of them, model 1 has the lowest stability.


Model 1:
Below is a relaxed Y6In3Pt crystal, with properties calculated at the PBE level.

```
data_Y6In3Pt
_cell_length_a 9.966
_cell_length_b 5.050
_cell_length_c 11.542
_cell_angle_alpha 90.00
_cell_angle_beta 109.37
_cell_angle_gamma 90.00
_space_group_name_H-M_alt 'P 1 21/m 1'
_space_group_IT_number 11
loop_
_space_group_symop_operation_xyz
'x,y,z'
'-x,-y,-z'
'-x,y+1/2,-z'
'x,-y+1/2,z'
loop_
_atom_site_label
_atom_site_type_symbol
_atom_site_fract_x
_atom_site_fract_y
_atom_site_fract_z
Y1 Y 0.043 0.250 0.409
Y2 Y 0.154 0.750 0.192
Y3 Y 0.246 0.250 0.020
Y4 Y 0.379 0.250 0.352
Y5 Y 0.388 0.750 0.865
Y6 Y 0.391 0.250 0.650
In1 In 0.046 0.750 0.887
In2 In 0.131 0.250 0.731
In3 In 0.277 0.750 0.488
Pt1 Pt 0.398 0.750 0.117
```


Model 2:
Below is a relaxed Y6In3Pt crystal, with properties calculated at the PBE level.

```
data_Y6In3Pt
_cell_length_a 9.075
_cell_length_b 11.733
_cell_length_c 5.206
_cell_angle_alpha 90.00
_cell_angle_beta 90.00
_cell_angle_gamma 90.00
_space_group_name_H-M_alt 'P n n m'
_space_group_IT_number 58
loop_
_space_group_symop_operation_xyz
'x,y,z'
'-x,-y,-z'
'-x,-y,z'
'x,y,-z'
'x+1/2,-y+1/2,-z+1/2'
'-x+1/2,y+1/2,z+1/2'
'-x+1/2,y+1/2,-z+1/2'
'x+1/2,-y+1/2,z+1/2'
loop_
_atom_site_label
_atom_site_type_symbol
_atom_site_fract_x
_atom_site_fract_y
_atom_site_fract_z
Y1 Y 0.013 0.238 0.000
Y2 Y 0.159 0.083 0.500
Y3 Y 0.185 0.410 0.500
In1 In 0.000 0.500 0.000
In2 In 0.154 0.726 0.500
Pt1 Pt 0.000 0.000 0.000
```


Of them, model 2 has the lowest stability.


Model 1:
Below is a relaxed ZnInPt3 crystal, with properties calculated at the PBE level.

```
data_ZnInPt3
_cell_length_a 4.941
_cell_length_b 4.941
_cell_length_c 4.941
_cell_angle_alpha 90.00
_cell_angle_beta 90.00
_cell_angle_gamma 90.00
_space_group_name_H-M_alt 'P m -3 m'
_space_group_IT_number 221
_space_group_name_Hall '-P 4 2 3'
loop_
_atom_site_label
_atom_site_type_symbol
_atom_site_fract_x
_atom_site_fract_y
_atom_site_fract_z
Zn1 Zn 0.000 0.000 0.000
In1 In 0.500 0.500 0.500
Pt1 Pt 0.000 0.500 0.500
```


Model 2:
Below is a relaxed ZnInPt3 crystal, with properties calculated at the PBE level.

```
data_ZnInPt3
_cell_length_a 4.632
_cell_length_b 4.632
_cell_length_c 4.632
_cell_angle_alpha 90.00
_cell_angle_beta 90.00
_cell_angle_gamma 90.00
_space_group_name_H-M_alt 'P m -3 m'
_space_group_IT_number 221
_space_group_name_Hall '-P 4 2 3'
loop_
_atom_site_label
_atom_site_type_symbol
_atom_site_fract_x
_atom_site_fract_y
_atom_site_fract_z
Zn1 Zn 0.000 0.000 0.000
In1 In 0.500 0.500 0.500
Pt1 Pt 0.000 0.000 0.500
```


Of them, model 1 has the lowest stability.


Model 1:
Below is a relaxed Zn2InPt2 crystal, with properties calculated at the PBE level.

```
data_Zn2InPt2
_cell_length_a 7.569
_cell_length_b 7.569
_cell_length_c 2.864
_cell_angle_alpha 90.00
_cell_angle_beta 90.00
_cell_angle_gamma 90.00
_space_group_name_H-M_alt 'P 4/m b m'
_space_group_IT_number 127
_space_group_name_Hall '-P 4 2ab'
loop_
_atom_site_label
_atom_site_type_symbol
_atom_site_fract_x
_atom_site_fract_y
_atom_site_fract_z
Zn1 Zn 0.123 0.377 0.000
In1 In 0.000 0.000 0.000
Pt1 Pt 0.172 0.672 0.500
```


Model 2:
Below is a relaxed Zn2InPt2 crystal, with properties calculated at the PBE level.

```
data_Zn2InPt2
_cell_length_a 3.998
_cell_length_b 3.998
_cell_length_c 11.385
_cell_angle_alpha 90.00
_cell_angle_beta 90.00
_cell_angle_gamma 90.00
_space_group_name_H-M_alt 'I 4/m m m'
_space_group_IT_number 139
_space_group_name_Hall '-I 4 2'
loop_
_atom_site_label
_atom_site_type_symbol
_atom_site_fract_x
_atom_site_fract_y
_atom_site_fract_z
Zn1 Zn 0.000 0.000 0.109
In1 In 0.000 0.000 0.500
Pt1 Pt 0.000 0.500 0.250
```


Model 3:
Below is a relaxed Zn2InPt2 crystal, with properties calculated at the PBE level.

```
data_Zn2InPt2
_cell_length_a 7.539
_cell_length_b 7.539
_cell_length_c 2.944
_cell_angle_alpha 90.00
_cell_angle_beta 90.00
_cell_angle_gamma 90.00
_space_group_name_H-M_alt 'P 4/m b m'
_space_group_IT_number 127
_space_group_name_Hall '-P 4 2ab'
loop_
_atom_site_label
_atom_site_type_symbol
_atom_site_fract_x
_atom_site_fract_y
_atom_site_fract_z
Zn1 Zn 0.140 0.360 0.000
In1 In 0.000 0.000 0.500
Pt1 Pt 0.156 0.656 0.500
```


Of them, model 2 has the lowest stability.


Model 1:
Below is a relaxed ZnInPt4 crystal, with properties calculated at the PBE level.

```
data_ZnInPt4
_cell_length_a 9.436
_cell_length_b 3.759
_cell_length_c 5.729
_cell_angle_alpha 90.00
_cell_angle_beta 107.04
_cell_angle_gamma 90.00
_space_group_name_H-M_alt 'C 1 2/m 1'
_space_group_IT_number 12
loop_
_space_group_symop_operation_xyz
'x,y,z'
'-x,-y,-z'
'-x,y,-z'
'x,-y,z'
'x+1/2,y+1/2,z'
'-x+1/2,-y+1/2,-z'
'-x+1/2,y+1/2,-z'
'x+1/2,-y+1/2,z'
loop_
_atom_site_label
_atom_site_type_symbol
_atom_site_fract_x
_atom_site_fract_y
_atom_site_fract_z
Zn1 Zn 0.000 0.000 0.000
In1 In 0.000 0.000 0.500
Pt1 Pt 0.160 0.500 0.839
Pt2 Pt 0.161 0.500 0.324
```


Model 2:
Below is a relaxed ZnInPt4 crystal, with properties calculated at the PBE level.

```
data_ZnInPt4
_cell_length_a 7.543
_cell_length_b 7.543
_cell_length_c 7.543
_cell_angle_alpha 90.00
_cell_angle_beta 90.00
_cell_angle_gamma 90.00
_space_group_name_H-M_alt 'F -4 3 m'
_space_group_IT_number 216
_space_group_name_Hall 'F -4 2 3'
loop_
_atom_site_label
_atom_site_type_symbol
_atom_site_fract_x
_atom_site_fract_y
_atom_site_fract_z
Zn1 Zn 0.000 0.000 0.000
In1 In 0.250 0.250 0.750
Pt1 Pt 0.125 0.125 0.375
```


Of them, model 2 has the lowest stability.


Model 1:
Below is a relaxed Zr2In2Pt crystal, with properties calculated at the PBE level.

```
data_Zr2In2Pt
_cell_length_a 7.007
_cell_length_b 7.007
_cell_length_c 4.808
_cell_angle_alpha 90.00
_cell_angle_beta 90.00
_cell_angle_gamma 90.00
_space_group_name_H-M_alt 'P 4/m b m'
_space_group_IT_number 127
_space_group_name_Hall '-P 4 2ab'
loop_
_atom_site_label
_atom_site_type_symbol
_atom_site_fract_x
_atom_site_fract_y
_atom_site_fract_z
Zr1 Zr 0.155 0.345 0.000
In1 In 0.156 0.656 0.500
Pt1 Pt 0.000 0.000 0.000
```


Model 2:
Below is a relaxed Zr2In2Pt crystal, with properties calculated at the PBE level.

```
data_Zr2In2Pt
_cell_length_a 6.957
_cell_length_b 6.957
_cell_length_c 4.430
_cell_angle_alpha 90.00
_cell_angle_beta 90.00
_cell_angle_gamma 90.00
_space_group_name_H-M_alt 'P 4/m b m'
_space_group_IT_number 127
_space_group_name_Hall '-P 4 2ab'
loop_
_atom_site_label
_atom_site_type_symbol
_atom_site_fract_x
_atom_site_fract_y
_atom_site_fract_z
Zr1 Zr 0.167 0.333 0.000
In1 In 0.142 0.642 0.500
Pt1 Pt 0.000 0.000 0.500
```


Of them, model 1 has the lowest stability.